Compound: LiSi4NiO10
Source: the Alexandria database
Functional: GGA+U
Structure: optimized geometry

abc: 7.7882 5.2721 12.0248
angles: 90.00 112.37 90.00
Space group P2/c (No. 13)
One atom of each set of equivalent atoms:
1 Li 0.0000 0.2402 0.2500
2 Si 0.2924 0.4516 0.6468
3 Si 0.2928 0.0432 0.9980
4 Ni 0.0000 0.2598 0.7500
5 O 0.1372 0.4961 0.7054
6 O 0.1400 0.0242 0.8607
7 O 0.2498 0.1778 0.5786
8 O 0.2781 0.3222 0.0516
9 O 0.5000 0.0000 0.0000
10 O 0.5000 0.4502 0.7500

- raw total energy (eV/atom) = -7.122